Entry 1:
# TbSn12Pt4 PBE relaxed
# Energy relative to the elements: -0.379 eV per atom
# N(E_F): 0.662 states/eV per atom
# E_tot: -4.898 eV per atom
data_TbSn12Pt4
_space_group_name_H-M_alt 'I m -3'
_space_group_IT_number 204
_space_group_name_Hall '-I 2 2 3'
_cell_length_a 9.507
_cell_length_b 9.507
_cell_length_c 9.507
_cell_angle_alpha 90.00
_cell_angle_beta 90.00
_cell_angle_gamma 90.00
loop_
_atom_site_label
_atom_site_type_symbol
_atom_site_fract_x
_atom_site_fract_y
_atom_site_fract_z
_atom_site_occupancy
Tb1 Tb 0.000 0.000 0.000 1
Sn1 Sn 0.000 0.342 0.157 1
Pt1 Pt 0.250 0.250 0.250 1

Entry 2:
# TbSn2Pt PBE relaxed
# Energy relative to the elements: -0.155 eV per atom
# N(E_F): 0.854 states/eV per atom
# E_tot: -4.824 eV per atom
data_TbSn2Pt
_space_group_name_H-M_alt 'R -3 m'
_space_group_IT_number 166
_space_group_name_Hall '-R 3 2"'
_cell_length_a 3.5273
_cell_length_b 3.5273
_cell_length_c 30.0339
_cell_angle_alpha 90.00
_cell_angle_beta 90.00
_cell_angle_gamma 120.00
loop_
_atom_site_label
_atom_site_type_symbol
_atom_site_fract_x
_atom_site_fract_y
_atom_site_fract_z
_atom_site_occupancy
Tb1 Tb 0.0000 0.0000 0.0000 1
Sn1 Sn 0.0000 0.0000 0.1047 1
Pt1 Pt 0.0000 0.0000 0.5000 1

Entry 3:
# Tb2SnPt4 PBE relaxed
# Energy relative to the elements: -0.320 eV per atom
# N(E_F): 0.284 states/eV per atom
# E_tot: -5.666 eV per atom
data_Tb2SnPt4
_space_group_name_H-M_alt 'I 4/m m m'
_space_group_IT_number 139
_space_group_name_Hall '-I 4 2'
_cell_length_a 4.926
_cell_length_b 4.926
_cell_length_c 14.473
_cell_angle_alpha 90.00
_cell_angle_beta 90.00
_cell_angle_gamma 90.00
loop_
_atom_site_label
_atom_site_type_symbol
_atom_site_fract_x
_atom_site_fract_y
_atom_site_fract_z
_atom_site_occupancy
Tb1 Tb 0.000 0.000 0.133 1
Sn1 Sn 0.000 0.000 0.500 1
Pt1 Pt 0.000 0.000 0.316 1
Pt2 Pt 0.000 0.500 0.000 1

Entry 4:
# TbSnPt2 PBE relaxed
# Energy relative to the elements: -0.912 eV per atom
# N(E_F): 0.502 states/eV per atom
# E_tot: -6.091 eV per atom
data_TbSnPt2
_space_group_name_H-M_alt 'P 1 m 1'
_space_group_IT_number 6
_cell_length_a 3.801
_cell_length_b 4.283
_cell_length_c 5.505
_cell_angle_alpha 90.00
_cell_angle_beta 109.97
_cell_angle_gamma 90.00
loop_
_space_group_symop_operation_xyz
'x,y,z'
'x,-y,z'
loop_
_atom_site_label
_atom_site_type_symbol
_atom_site_fract_x
_atom_site_fract_y
_atom_site_fract_z
_atom_site_occupancy
Tb1 Tb 0.000 0.000 0.000 1
Sn1 Sn 0.282 0.500 0.566 1
Pt1 Pt 0.549 0.500 0.099 1
Pt2 Pt 0.726 0.000 0.454 1

Entry 5:
# TbSnPt2 PBE relaxed
# Energy relative to the elements: -1.011 eV per atom
# N(E_F): 0.579 states/eV per atom
# E_tot: -6.190 eV per atom
data_TbSnPt2
_space_group_name_H-M_alt 'P 63/m m c'
_space_group_IT_number 194
_space_group_name_Hall '-P 6c 2c'
_cell_length_a 4.5722
_cell_length_b 4.5722
_cell_length_c 9.1120
_cell_angle_alpha 90.00
_cell_angle_beta 90.00
_cell_angle_gamma 120.00
loop_
_atom_site_label
_atom_site_type_symbol
_atom_site_fract_x
_atom_site_fract_y
_atom_site_fract_z
_atom_site_occupancy
Tb1 Tb 0.3333 0.6667 0.2500 1
Sn1 Sn 0.0000 0.0000 0.0000 1
Pt1 Pt 0.3333 0.6667 0.5899 1

Entry 6:
# TbSnPt PBE relaxed
# Energy relative to the elements: -0.996 eV per atom
# N(E_F): 0.225 states/eV per atom
# E_tot: -5.887 eV per atom
data_TbSnPt
_space_group_name_H-M_alt 'P -6 m 2'
_space_group_IT_number 187
_space_group_name_Hall 'P -6 2'
_cell_length_a 4.6467
_cell_length_b 4.6467
_cell_length_c 3.6258
_cell_angle_alpha 90.00
_cell_angle_beta 90.00
_cell_angle_gamma 120.00
loop_
_atom_site_label
_atom_site_type_symbol
_atom_site_fract_x
_atom_site_fract_y
_atom_site_fract_z
_atom_site_occupancy
Tb1 Tb 0.0000 0.0000 0.0000 1
Sn1 Sn 0.6667 0.3333 0.5000 1
Pt1 Pt 0.3333 0.6667 0.5000 1

Entry 7:
# Tb2SnPt PBE relaxed
# Energy relative to the elements: -1.007 eV per atom
# N(E_F): 0.254 states/eV per atom
# E_tot: -5.833 eV per atom
data_Tb2SnPt
_space_group_name_H-M_alt 'P 1 21/m 1'
_space_group_IT_number 11
_cell_length_a 6.109
_cell_length_b 4.387
_cell_length_c 8.162
_cell_angle_alpha 90.00
_cell_angle_beta 111.39
_cell_angle_gamma 90.00
loop_
_space_group_symop_operation_xyz
'x,y,z'
'-x,-y,-z'
'-x,y+1/2,-z'
'x,-y+1/2,z'
loop_
_atom_site_label
_atom_site_type_symbol
_atom_site_fract_x
_atom_site_fract_y
_atom_site_fract_z
_atom_site_occupancy
Tb1 Tb 0.203 0.250 0.446 1
Tb2 Tb 0.230 0.250 0.905 1
Sn1 Sn 0.322 0.750 0.207 1
Pt1 Pt 0.331 0.750 0.704 1

Entry 8:
# TbSnPt PBE relaxed
# Energy relative to the elements: -0.867 eV per atom
# N(E_F): 0.445 states/eV per atom
# E_tot: -5.758 eV per atom
data_TbSnPt
_space_group_name_H-M_alt 'I 4/m m m'
_space_group_IT_number 139
_space_group_name_Hall '-I 4 2'
_cell_length_a 4.516
_cell_length_b 4.516
_cell_length_c 13.922
_cell_angle_alpha 90.00
_cell_angle_beta 90.00
_cell_angle_gamma 90.00
loop_
_atom_site_label
_atom_site_type_symbol
_atom_site_fract_x
_atom_site_fract_y
_atom_site_fract_z
_atom_site_occupancy
Tb1 Tb 0.000 0.000 0.145 1
Sn1 Sn 0.000 0.000 0.377 1
Pt1 Pt 0.000 0.500 0.000 1

Entry 9:
# Tb2Zn2SnPt5 PBE relaxed
# Energy relative to the elements: -0.834 eV per atom
# N(E_F): 0.526 states/eV per atom
# E_tot: -5.436 eV per atom
data_Tb2Zn2SnPt5
_space_group_name_H-M_alt 'P 4/m b m'
_space_group_IT_number 127
_space_group_name_Hall '-P 4 2ab'
_cell_length_a 9.704
_cell_length_b 9.704
_cell_length_c 3.859
_cell_angle_alpha 90.00
_cell_angle_beta 90.00
_cell_angle_gamma 90.00
loop_
_atom_site_label
_atom_site_type_symbol
_atom_site_fract_x
_atom_site_fract_y
_atom_site_fract_z
_atom_site_occupancy
Tb1 Tb 0.177 0.323 0.000 1
Zn1 Zn 0.120 0.620 0.000 1
Sn1 Sn 0.000 0.000 0.000 1
Pt1 Pt 0.000 0.500 0.500 1
Pt2 Pt 0.067 0.791 0.500 1

Entry 10:
# TcSn2Pt PBE relaxed
# Energy relative to the elements: 0.070 eV per atom
# Polymorph energy (0 for the lowest one): 0 meV per atom
# N(E_F): 0.809 states/eV per atom
# E_tot: -6.033 eV per atom
data_TcSn2Pt
_space_group_name_H-M_alt 'F m -3 m'
_space_group_IT_number 225
_space_group_name_Hall '-F 4 2 3'
_cell_length_a 6.633
_cell_length_b 6.633
_cell_length_c 6.633
_cell_angle_alpha 90.00
_cell_angle_beta 90.00
_cell_angle_gamma 90.00
loop_
_atom_site_label
_atom_site_type_symbol
_atom_site_fract_x
_atom_site_fract_y
_atom_site_fract_z
_atom_site_occupancy
Tc1 Tc 0.000 0.000 0.000 1
Sn1 Sn 0.250 0.250 0.250 1
Pt1 Pt 0.000 0.000 0.500 1

Entry 11:
# TcSn2Pt PBE relaxed
# Energy relative to the elements: 0.419 eV per atom
# Polymorph energy (0 for the lowest one): 349 meV per atom
# N(E_F): 0.816 states/eV per atom
# E_tot: -5.685 eV per atom
data_TcSn2Pt
_space_group_name_H-M_alt 'R -3 m'
_space_group_IT_number 166
_space_group_name_Hall '-R 3 2"'
_cell_length_a 3.1248
_cell_length_b 3.1248
_cell_length_c 28.9785
_cell_angle_alpha 90.00
_cell_angle_beta 90.00
_cell_angle_gamma 120.00
loop_
_atom_site_label
_atom_site_type_symbol
_atom_site_fract_x
_atom_site_fract_y
_atom_site_fract_z
_atom_site_occupancy
Tc1 Tc 0.0000 0.0000 0.0000 1
Sn1 Sn 0.0000 0.0000 0.0923 1
Pt1 Pt 0.0000 0.0000 0.5000 1

Entry 12:
# TcSn3Pt PBE relaxed
# Energy relative to the elements: 0.845 eV per atom
# Polymorph energy (0 for the lowest one): 374 meV per atom
# N(E_F): 1.021 states/eV per atom
# E_tot: -4.838 eV per atom
data_TcSn3Pt
_space_group_name_H-M_alt 'P m -3 m'
_space_group_IT_number 221
_space_group_name_Hall '-P 4 2 3'
_cell_length_a 5.191
_cell_length_b 5.191
_cell_length_c 5.191
_cell_angle_alpha 90.00
_cell_angle_beta 90.00
_cell_angle_gamma 90.00
loop_
_atom_site_label
_atom_site_type_symbol
_atom_site_fract_x
_atom_site_fract_y
_atom_site_fract_z
_atom_site_occupancy
Tc1 Tc 0.000 0.000 0.000 1
Sn1 Sn 0.000 0.500 0.500 1
Pt1 Pt 0.500 0.500 0.500 1

Number 1: spin magnetization 0.00 μB per formula unit. Number 2: spin magnetization 0.00 μB per formula unit. Number 3: spin magnetization 0.00 μB per formula unit. Number 4: spin magnetization 0.00 μB per formula unit. Number 5: spin magnetization 0.00 μB per formula unit. Number 6: spin magnetization 0.00 μB per formula unit. Number 7: spin magnetization 0.00 μB per formula unit. Number 8: spin magnetization 0.00 μB per formula unit. Number 9: spin magnetization 0.00 μB per formula unit. Number 10: spin magnetization 0.94 μB per formula unit. Number 11: spin magnetization 1.50 μB per formula unit. Number 12: spin magnetization 3.48 μB per formula unit.